1.
{
  "formula": "TbErAl3Ge2",
  "functional": "GGA-PBE",
  "state": "relaxed",
  "m_tot_mub_per_fu": 0.00,
  "dft_energy_ev_per_atom": -4.7733,
  "cell": [[10.266, 0.000, 0.000], [0.000, 4.070, 0.000], [-1.172, 0.000, 6.644]],
  "species": ["Tb", "Tb", "Er", "Er", "Al", "Al", "Al", "Al", "Al", "Al", "Ge", "Ge", "Ge", "Ge"],
  "frac_coords": [[0.000, 0.000, 0.000], [0.500, 0.500, 0.000], [0.267, 0.500, 0.367], [0.767, 0.000, 0.367], [0.081, 0.000, 0.558], [0.186, 0.500, 0.806], [0.383, 0.000, 0.682], [0.581, 0.500, 0.558], [0.686, 0.000, 0.806], [0.883, 0.500, 0.682], [0.284, 0.000, 0.043], [0.483, 0.000, 0.326], [0.784, 0.500, 0.043], [0.983, 0.500, 0.326]]
}

2.
{
  "formula": "ScCdB",
  "functional": "GGA-PBE",
  "state": "relaxed",
  "m_tot_mub_per_fu": 0.00,
  "e_above_lowest_polymorph_ev_per_atom": 0.916,
  "cell": [[6.145, 0.000, 0.000], [0.000, 6.145, 0.000], [0.000, 0.000, 6.145]],
  "species": ["Sc", "Sc", "Sc", "Sc", "Cd", "Cd", "Cd", "Cd", "B", "B", "B", "B"],
  "frac_coords": [[0.000, 0.000, 0.000], [0.000, 0.500, 0.500], [0.500, 0.000, 0.500], [0.500, 0.500, 0.000], [0.250, 0.250, 0.250], [0.250, 0.750, 0.750], [0.750, 0.250, 0.750], [0.750, 0.750, 0.250], [0.250, 0.250, 0.750], [0.250, 0.750, 0.250], [0.750, 0.250, 0.250], [0.750, 0.750, 0.750]]
}

3.
{
  "formula": "RbNi3Bi5",
  "functional": "GGA-PBE",
  "state": "relaxed",
  "m_tot_mub_per_fu": 0.02,
  "dft_energy_ev_per_atom": -4.3300,
  "cell": [[5.641, 0.000, 0.000], [-2.821, 4.886, 0.000], [0.000, 0.000, 9.026]],
  "species": ["Rb", "Ni", "Ni", "Ni", "Bi", "Bi", "Bi", "Bi", "Bi"],
  "frac_coords": [[0.000, 0.000, 0.000], [0.000, 0.500, 0.500], [0.500, 0.000, 0.500], [0.500, 0.500, 0.500], [0.000, 0.000, 0.500], [0.333, 0.667, 0.258], [0.333, 0.667, 0.742], [0.667, 0.333, 0.258], [0.667, 0.333, 0.742]]
}

4.
{
  "formula": "DyYIn4Pt2",
  "functional": "GGA-PBE",
  "state": "relaxed",
  "m_tot_mub_per_fu": 0.01,
  "dft_energy_ev_per_atom": -5.0091,
  "cell": [[7.709, 0.000, 0.000], [0.000, 4.402, 0.000], [0.000, 0.000, 10.461]],
  "species": ["Dy", "Dy", "Y", "Y", "In", "In", "In", "In", "In", "In", "In", "In", "Pt", "Pt", "Pt", "Pt"],
  "frac_coords": [[0.000, 0.000, 0.000], [0.000, 0.500, 0.500], [0.500, 0.000, 0.145], [0.500, 0.500, 0.645], [0.200, 0.000, 0.710], [0.200, 0.500, 0.210], [0.300, 0.000, 0.435], [0.300, 0.500, 0.935], [0.700, 0.000, 0.435], [0.700, 0.500, 0.935], [0.800, 0.000, 0.710], [0.800, 0.500, 0.210], [0.000, 0.000, 0.289], [0.000, 0.500, 0.789], [0.500, 0.000, 0.856], [0.500, 0.500, 0.356]]
}

Copy entry 4 word for word.
{
  "formula": "DyYIn4Pt2",
  "functional": "GGA-PBE",
  "state": "relaxed",
  "m_tot_mub_per_fu": 0.01,
  "dft_energy_ev_per_atom": -5.0091,
  "cell": [[7.709, 0.000, 0.000], [0.000, 4.402, 0.000], [0.000, 0.000, 10.461]],
  "species": ["Dy", "Dy", "Y", "Y", "In", "In", "In", "In", "In", "In", "In", "In", "Pt", "Pt", "Pt", "Pt"],
  "frac_coords": [[0.000, 0.000, 0.000], [0.000, 0.500, 0.500], [0.500, 0.000, 0.145], [0.500, 0.500, 0.645], [0.200, 0.000, 0.710], [0.200, 0.500, 0.210], [0.300, 0.000, 0.435], [0.300, 0.500, 0.935], [0.700, 0.000, 0.435], [0.700, 0.500, 0.935], [0.800, 0.000, 0.710], [0.800, 0.500, 0.210], [0.000, 0.000, 0.289], [0.000, 0.500, 0.789], [0.500, 0.000, 0.856], [0.500, 0.500, 0.356]]
}